No. 1
LaHfSN2: relaxed, PBE.

Cell: 4.151 4.151 5.604 Å, 90.00 90.00 90.00°
Fractional positions:
S: 0.000 0.000 0.500
N: 0.000 0.500 0.000
Hf: 0.500 0.500 0.500
N: 0.500 0.000 0.000
La: 0.000 0.000 0.000

Output
M_tot: 0.43 μB per formula unit
distance to the lowest polymorph of the same formula: 1698 meV per atom
formation energy (no corrections): 0.5856 eV/atom
crystal system: tetragonal

---

No. 2
Na2Pd2I: relaxed, PBE.

Cell: 7.213 7.213 4.402 Å, 90.00 90.00 90.00°
Fractional positions:
Pd: 0.136 0.364 0.000
Na: 0.838 0.338 0.500
I: 0.500 0.500 0.000
Pd: 0.864 0.636 0.000
Na: 0.162 0.662 0.500
Na: 0.338 0.162 0.500
Na: 0.662 0.838 0.500
I: 0.000 0.000 0.000
Pd: 0.364 0.864 0.000
Pd: 0.636 0.136 0.000

Output
M_tot: 0.00 μB per formula unit
formation energy (no corrections): -0.1969 eV/atom
crystal system: tetragonal

---

No. 3
ReSiSb2: relaxed, PBE.

Cell: 4.078 3.344 6.810 Å, 75.65 90.00 90.00°
Fractional positions:
Sb: 0.000 0.981 0.910
Sb: 0.500 0.258 0.362
Si: 0.000 0.678 0.520
Re: 0.500 0.584 0.707

Output
M_tot: 0.00 μB per formula unit
formation energy (no corrections): 0.4132 eV/atom
crystal system: monoclinic

---

No. 4
Re2PtAu: relaxed, PBE.

Cell: 5.703 5.703 6.969 Å, 65.85 65.85 90.00°
Fractional positions:
Re: 0.613 0.125 0.250
Pt: 0.250 0.750 0.500
Re: 0.137 0.625 0.250
Au: 0.000 0.000 0.000
Pt: 0.500 0.500 0.000
Au: 0.750 0.250 0.500
Re: 0.375 0.387 0.750
Re: 0.875 0.863 0.750

Output
M_tot: 0.00 μB per formula unit
ΔH_f (0 K): 1.60 eV per atom
distance to the lowest polymorph of the same formula: 1527 meV per atom
crystal system: tetragonal

---

No. 5
NdTh2Hg: relaxed, PBE.

Cell: 3.434 3.434 12.439 Å, 82.07 82.07 60.00°
Fractional positions:
Nd: 0.000 0.000 0.000
Th: 0.093 0.093 0.720
Th: 0.907 0.907 0.280
Hg: 0.500 0.500 0.500

Output
M_tot: 0.00 μB per formula unit
ΔH_f (0 K): 0.15 eV per atom
distance to the lowest polymorph of the same formula: 222 meV per atom
crystal system: trigonal

---

No. 6
BeC2: relaxed, PBE.

Cell: 5.824 5.824 5.824 Å, 156.81 92.48 92.15°
Fractional positions:
C: 0.951 0.201 0.750
Be: 0.372 0.622 0.750
C: 0.782 0.032 0.750
C: 0.049 0.799 0.250
Be: 0.628 0.378 0.250
C: 0.218 0.968 0.250

Output
M_tot: 0.00 μB per formula unit
ΔH_f (0 K): 0.76 eV per atom
distance to the lowest polymorph of the same formula: 373 meV per atom
crystal system: orthorhombic